(1)
Density functional theory data (PBE) for a geometry-optimized CeSc2Cd6 structure.

a = 8.5943 Å, b = 8.5943 Å, c = 3.2392 Å
α = 90.00°, β = 90.00°, γ = 120.00°
Atoms (fractional coordinates):
Ce (0.0000, 0.0000, 0.0000)
Sc (0.3333, 0.6667, 0.0000)
Sc (0.6667, 0.3333, 0.0000)
Cd (0.0000, 0.3388, 0.5000)
Cd (0.0000, 0.6612, 0.5000)
Cd (0.3388, 0.0000, 0.5000)
Cd (0.3388, 0.3388, 0.5000)
Cd (0.6612, 0.0000, 0.5000)
Cd (0.6612, 0.6612, 0.5000)

Output
**Calculated total energy**: -26.1 eV/cell
**Energy of formation**: -221 meV per atom

---

(2)
Density functional theory data (PBE) for a geometry-optimized Ce2ScCd structure.

a = 3.1748 Å, b = 3.1748 Å, c = 36.7118 Å
α = 90.00°, β = 90.00°, γ = 120.00°
Atoms (fractional coordinates):
Ce (0.0000, 0.0000, 0.0901)
Ce (0.0000, 0.0000, 0.9099)
Ce (0.3333, 0.6667, 0.5766)
Ce (0.3333, 0.6667, 0.7568)
Ce (0.6667, 0.3333, 0.2432)
Ce (0.6667, 0.3333, 0.4234)
Sc (0.0000, 0.0000, 0.5000)
Sc (0.3333, 0.6667, 0.1667)
Sc (0.6667, 0.3333, 0.8333)
Cd (0.0000, 0.0000, 0.0000)
Cd (0.3333, 0.6667, 0.6667)
Cd (0.6667, 0.3333, 0.3333)

Output
**Calculated total energy**: -55.1 eV/cell
**Offset from the most stable computed form**: 194 meV per atom
**Energy of formation**: 186 meV per atom

---

(3)
Density functional theory data (PBE) for a geometry-optimized CeSc2Cd structure.

a = 4.6892 Å, b = 4.6892 Å, c = 4.5382 Å
α = 90.00°, β = 90.00°, γ = 90.00°
Atoms (fractional coordinates):
Ce (0.0000, 0.0000, 0.0000)
Sc (0.0000, 0.5000, 0.5000)
Sc (0.5000, 0.0000, 0.5000)
Cd (0.5000, 0.5000, 0.0000)

Output
**Calculated total energy**: -19.6 eV/cell
**Offset from the most stable computed form**: 77 meV per atom
**Energy of formation**: -27 meV per atom

---

(4)
Density functional theory data (PBE) for a geometry-optimized CeSc3Cd structure.

a = 8.1257 Å, b = 3.5404 Å, c = 8.6412 Å
α = 90.00°, β = 93.82°, γ = 90.00°
Atoms (fractional coordinates):
Ce (0.0498, 0.2500, 0.1573)
Ce (0.9502, 0.7500, 0.8427)
Sc (0.1585, 0.7500, 0.4816)
Sc (0.3472, 0.7500, 0.0248)
Sc (0.4428, 0.2500, 0.3400)
Sc (0.5572, 0.7500, 0.6600)
Sc (0.6528, 0.2500, 0.9752)
Sc (0.8415, 0.2500, 0.5184)
Cd (0.2731, 0.2500, 0.7475)
Cd (0.7269, 0.7500, 0.2525)

Output
**Calculated total energy**: -52.1 eV/cell
**Energy of formation**: -45 meV per atom

---

(5)
Density functional theory data (PBE) for a geometry-optimized CeSc4Cd5 structure.

a = 3.3932 Å, b = 3.3932 Å, c = 19.9783 Å
α = 90.00°, β = 90.00°, γ = 90.00°
Atoms (fractional coordinates):
Ce (0.0000, 0.0000, 0.0000)
Sc (0.0000, 0.0000, 0.2143)
Sc (0.0000, 0.0000, 0.4051)
Sc (0.0000, 0.0000, 0.5949)
Sc (0.0000, 0.0000, 0.7857)
Cd (0.5000, 0.5000, 0.1183)
Cd (0.5000, 0.5000, 0.3102)
Cd (0.5000, 0.5000, 0.5000)
Cd (0.5000, 0.5000, 0.6898)
Cd (0.5000, 0.5000, 0.8817)

Output
**Calculated total energy**: -38.4 eV/cell
**Energy of formation**: -256 meV per atom

---

(6)
Density functional theory data (PBE) for a geometry-optimized CeScCd6 structure.

a = 4.8650 Å, b = 7.1487 Å, c = 10.8482 Å
α = 90.00°, β = 90.00°, γ = 90.00°
Atoms (fractional coordinates):
Ce (0.0000, 0.0000, 0.0000)
Ce (0.0000, 0.5000, 0.5000)
Sc (0.5000, 0.0000, 0.2713)
Sc (0.5000, 0.5000, 0.7713)
Cd (0.0000, 0.0000, 0.4538)
Cd (0.0000, 0.2192, 0.7306)
Cd (0.0000, 0.2808, 0.2306)
Cd (0.0000, 0.5000, 0.9538)
Cd (0.0000, 0.7192, 0.2306)
Cd (0.0000, 0.7808, 0.7306)
Cd (0.5000, 0.0000, 0.8059)
Cd (0.5000, 0.2146, 0.5418)
Cd (0.5000, 0.2854, 0.0418)
Cd (0.5000, 0.5000, 0.3059)
Cd (0.5000, 0.7146, 0.0418)
Cd (0.5000, 0.7854, 0.5418)

Output
**Calculated total energy**: -38.3 eV/cell
**Energy of formation**: -177 meV per atom

---

(7)
Density functional theory data (PBE) for a geometry-optimized CeScCd structure.

a = 3.2990 Å, b = 3.2990 Å, c = 13.8945 Å
α = 90.00°, β = 90.00°, γ = 90.00°
Atoms (fractional coordinates):
Ce (0.0000, 0.0000, 0.0000)
Ce (0.5000, 0.5000, 0.5000)
Sc (0.0000, 0.0000, 0.3214)
Sc (0.5000, 0.5000, 0.8214)
Cd (0.0000, 0.0000, 0.6766)
Cd (0.5000, 0.5000, 0.1766)

Output
**Calculated total energy**: -27.0 eV/cell
**Offset from the most stable computed form**: 0 meV per atom
**Energy of formation**: -105 meV per atom

---

(8)
Density functional theory data (PBE) for a geometry-optimized CeSc2Cd structure.

a = 3.2863 Å, b = 3.2863 Å, c = 31.5827 Å
α = 90.00°, β = 90.00°, γ = 120.00°
Atoms (fractional coordinates):
Ce (0.0000, 0.0000, 0.0000)
Ce (0.3333, 0.6667, 0.6667)
Ce (0.6667, 0.3333, 0.3333)
Sc (0.0000, 0.0000, 0.5783)
Sc (0.0000, 0.0000, 0.7541)
Sc (0.3333, 0.6667, 0.2450)
Sc (0.3333, 0.6667, 0.4208)
Sc (0.6667, 0.3333, 0.0875)
Sc (0.6667, 0.3333, 0.9116)
Cd (0.0000, 0.0000, 0.1661)
Cd (0.3333, 0.6667, 0.8328)
Cd (0.6667, 0.3333, 0.4995)

Output
**Calculated total energy**: -58.7 eV/cell
**Offset from the most stable computed form**: 86 meV per atom
**Energy of formation**: -17 meV per atom

---

(9)
Density functional theory data (PBE) for a geometry-optimized Ce2ScCd structure.

a = 3.2076 Å, b = 3.2076 Å, c = 10.1738 Å
α = 90.00°, β = 90.00°, γ = 90.00°
Atoms (fractional coordinates):
Ce (0.0000, 0.0000, 0.2456)
Ce (0.0000, 0.0000, 0.7544)
Sc (0.5000, 0.5000, 0.5000)
Cd (0.5000, 0.5000, 0.0000)

Output
**Calculated total energy**: -19.1 eV/cell
**Offset from the most stable computed form**: 0 meV per atom
**Energy of formation**: -7 meV per atom

---

(10)
Density functional theory data (PBE) for a geometry-optimized CeSc2Cd structure.

a = 7.2282 Å, b = 7.2282 Å, c = 7.2282 Å
α = 90.00°, β = 90.00°, γ = 90.00°
Atoms (fractional coordinates):
Ce (0.0000, 0.0000, 0.0000)
Ce (0.0000, 0.5000, 0.5000)
Ce (0.5000, 0.0000, 0.5000)
Ce (0.5000, 0.5000, 0.0000)
Sc (0.2500, 0.2500, 0.2500)
Sc (0.2500, 0.2500, 0.7500)
Sc (0.2500, 0.7500, 0.2500)
Sc (0.2500, 0.7500, 0.7500)
Sc (0.7500, 0.2500, 0.2500)
Sc (0.7500, 0.2500, 0.7500)
Sc (0.7500, 0.7500, 0.2500)
Sc (0.7500, 0.7500, 0.7500)
Cd (0.0000, 0.0000, 0.5000)
Cd (0.0000, 0.5000, 0.0000)
Cd (0.5000, 0.0000, 0.0000)
Cd (0.5000, 0.5000, 0.5000)

Output
**Calculated total energy**: -77.5 eV/cell
**Offset from the most stable computed form**: 139 meV per atom
**Energy of formation**: 36 meV per atom

---

(11)
Density functional theory data (PBE) for a geometry-optimized CeSc4Cd3 structure.

a = 3.4696 Å, b = 3.4696 Å, c = 15.3632 Å
α = 90.00°, β = 90.00°, γ = 90.00°
Atoms (fractional coordinates):
Ce (0.0000, 0.0000, 0.0000)
Sc (0.5000, 0.5000, 0.1422)
Sc (0.5000, 0.5000, 0.3826)
Sc (0.5000, 0.5000, 0.6174)
Sc (0.5000, 0.5000, 0.8578)
Cd (0.0000, 0.0000, 0.2611)
Cd (0.0000, 0.0000, 0.5000)
Cd (0.0000, 0.0000, 0.7389)

Output
**Calculated total energy**: -35.6 eV/cell
**Energy of formation**: -195 meV per atom

---

(12)
Density functional theory data (PBE) for a geometry-optimized Ce2ScCd structure.

a = 7.6212 Å, b = 7.6212 Å, c = 7.6212 Å
α = 90.00°, β = 90.00°, γ = 90.00°
Atoms (fractional coordinates):
Ce (0.2500, 0.2500, 0.2500)
Ce (0.2500, 0.2500, 0.7500)
Ce (0.2500, 0.7500, 0.2500)
Ce (0.2500, 0.7500, 0.7500)
Ce (0.7500, 0.2500, 0.2500)
Ce (0.7500, 0.2500, 0.7500)
Ce (0.7500, 0.7500, 0.2500)
Ce (0.7500, 0.7500, 0.7500)
Sc (0.0000, 0.0000, 0.0000)
Sc (0.0000, 0.5000, 0.5000)
Sc (0.5000, 0.0000, 0.5000)
Sc (0.5000, 0.5000, 0.0000)
Cd (0.0000, 0.0000, 0.5000)
Cd (0.0000, 0.5000, 0.0000)
Cd (0.5000, 0.0000, 0.0000)
Cd (0.5000, 0.5000, 0.5000)

Output
**Calculated total energy**: -75.3 eV/cell
**Offset from the most stable computed form**: 82 meV per atom
**Energy of formation**: 74 meV per atom